[1]
DFT (PBE) results for a relaxed Tl2CoSi crystal. Values from VASP.

Cell and atoms, written as Quantum ESPRESSO input:
```
&SYSTEM
  ibrav = 0, nat = 4, ntyp = 3
/
ATOMIC_SPECIES
Co 58.93 Co.upf
Si 28.09 Si.upf
Tl 204.38 Tl.upf
CELL_PARAMETERS angstrom
-2.726 -6.448 -4.592
0.534 -7.297 -4.070
-1.811 -7.996 -1.696
ATOMIC_POSITIONS crystal
Co 0.250 0.250 0.250
Si 0.750 0.750 0.750
Tl 0.994 0.994 0.994
Tl 0.506 0.506 0.506
```

---

[2]
DFT (PBE) results for a relaxed SmCuBr4 crystal. Values from VASP.

Cell and atoms, written as Quantum ESPRESSO input:
```
&SYSTEM
  ibrav = 0, nat = 6, ntyp = 3
/
ATOMIC_SPECIES
Sm 150.36 Sm.upf
Cu 63.55 Cu.upf
Br 79.90 Br.upf
CELL_PARAMETERS angstrom
4.050 0.000 0.000
0.000 7.083 0.386
0.000 0.234 6.997
ATOMIC_POSITIONS crystal
Sm 0.500 0.000 0.500
Cu 0.000 0.000 0.000
Br 0.500 0.199 0.838
Br 0.500 0.801 0.162
Br 0.000 0.252 0.336
Br 0.000 0.748 0.664
```

---

Number 1: E_form (uncorrected) 0.691 eV per atom. Number 2: E_form (uncorrected) -1.248 eV per atom.